Record 1
First-principles (GGA-PBE) data for a geometry-optimized ZnHRh2 structure, as listed in the Alexandria database.

a = 2.8140 Å, b = 2.8140 Å, c = 19.5509 Å
α = 90.00°, β = 90.00°, γ = 120.00°
Space group R3m (No. 160, hexagonal axes)
Symmetry-distinct sites (fractional):
Zn  0.0000  0.0000  0.0000 [3 per cell]
H  0.0000  0.0000  0.1665 [3 per cell]
Rh  0.0000  0.0000  0.5605 [3 per cell]
Rh  0.0000  0.0000  0.7726 [3 per cell]

## Properties
ρ = 10115 kg/m³
Raw total energy = -0.1829 Ha/atom

Record 2
First-principles (GGA-PBE) data for a geometry-optimized Pa3TeN structure, as listed in the Alexandria database.

a = 4.7327 Å, b = 4.7327 Å, c = 4.7327 Å
α = 90.00°, β = 90.00°, γ = 90.00°
Space group Pm-3m (No. 221)
Symmetry-distinct sites (fractional):
Pa  0.0000  0.0000  0.5000 [3 per cell]
Te  0.5000  0.5000  0.5000 [1 per cell]
N  0.0000  0.0000  0.0000 [1 per cell]

## Properties
ρ = 13075 kg/m³
ΔE_f (raw) = -3.99 eV/f.u.

Record 3
First-principles (GGA-PBE) data for a geometry-optimized ZnPt4Pb structure, as listed in the Alexandria database.

a = 7.6278 Å, b = 7.6278 Å, c = 7.6278 Å
α = 90.00°, β = 90.00°, γ = 90.00°
Space group F-43m (No. 216)
Symmetry-distinct sites (fractional):
Zn  0.0000  0.0000  0.0000 [4 per cell]
Pt  0.1254  0.1254  0.3746 [16 per cell]
Pb  0.2500  0.2500  0.7500 [4 per cell]

## Properties
ρ = 15758 kg/m³
Formation enthalpy at 0 K = -8.9 kJ/mol of atoms

Record 4
First-principles (GGA-PBE) data for a geometry-optimized PdPtPb structure, as listed in the Alexandria database.

a = 4.5014 Å, b = 4.5014 Å, c = 3.2398 Å
α = 90.00°, β = 90.00°, γ = 120.00°
Space group P3m1 (No. 156)
Symmetry-distinct sites (fractional):
Pd  0.0000  0.0000  0.0000 [1 per cell]
Pt  0.6667  0.3333  0.4012 [1 per cell]
Pb  0.3333  0.6667  0.6886 [1 per cell]

## Properties
ρ = 14858 kg/m³
Formation enthalpy at 0 K = -5.9 kJ/mol of atoms

Question: Among the records above, which one has the lowest ρ?
Answer: ZnHRh2